Record 1
FeOsW2: relaxed, GGA-PBE.

Summary:
Crystal system: tetragonal
Energy of formation (eV/atom): 0.198

Lattice parameters (Å, degrees): 2.722 2.722 7.821 90.00 90.00 90.00
Fractional coordinates of all 4 atoms:
Fe  0.000  0.000  0.000
Os  0.500  0.500  0.216
W  0.000  0.000  0.475
W  0.500  0.500  0.760

---

Record 2
Sm5Ag2: relaxed, GGA-PBE.

Summary:
Crystal system: monoclinic
Energy of formation (eV/atom): -0.093

Lattice parameters (Å, degrees): 8.826 8.826 6.796 90.78 90.78 51.59
Fractional coordinates of all 14 atoms:
Sm  0.023  0.977  0.750
Sm  0.184  0.267  0.721
Sm  0.260  0.558  0.021
Sm  0.267  0.184  0.221
Sm  0.442  0.740  0.479
Sm  0.558  0.260  0.521
Sm  0.733  0.816  0.779
Sm  0.740  0.442  0.979
Sm  0.816  0.733  0.279
Sm  0.977  0.023  0.250
Ag  0.157  0.617  0.516
Ag  0.383  0.843  0.984
Ag  0.617  0.157  0.016
Ag  0.843  0.383  0.484

---

Record 3
EuThZn2: relaxed, GGA-PBE.

Summary:
Crystal system: tetragonal
Energy of formation (eV/atom): -0.212

Lattice parameters (Å, degrees): 3.691 3.691 7.503 90.00 90.00 90.00
Fractional coordinates of all 4 atoms:
Eu  0.000  0.000  0.000
Th  0.000  0.000  0.500
Zn  0.500  0.500  0.261
Zn  0.500  0.500  0.739

---

Record 4
PmDy15Tm4: relaxed, GGA-PBE.

Summary:
Crystal system: tetragonal
Energy of formation (eV/atom): 0.020

Lattice parameters (Å, degrees): 5.000 5.000 24.999 90.00 90.00 90.00
Fractional coordinates of all 20 atoms:
Pm  0.000  0.000  0.000
Dy  0.000  0.500  0.102
Dy  0.000  0.500  0.301
Dy  0.000  0.500  0.500
Dy  0.000  0.500  0.699
Dy  0.000  0.500  0.898
Dy  0.500  0.000  0.102
Dy  0.500  0.000  0.301
Dy  0.500  0.000  0.500
Dy  0.500  0.000  0.699
Dy  0.500  0.000  0.898
Dy  0.500  0.500  0.000
Dy  0.500  0.500  0.202
Dy  0.500  0.500  0.400
Dy  0.500  0.500  0.600
Dy  0.500  0.500  0.798
Tm  0.000  0.000  0.201
Tm  0.000  0.000  0.401
Tm  0.000  0.000  0.599
Tm  0.000  0.000  0.799

---

Record 5
Al2TeMo: relaxed, GGA-PBE.

Summary:
Formation energy without anion corrections (eV/atom): 0.363
Crystal system: tetragonal

Lattice parameters (Å, degrees): 5.067 5.067 5.067 130.90 130.90 71.97
Fractional coordinates of all 4 atoms:
Al  0.000  0.000  0.000
Al  0.750  0.250  0.500
Te  0.500  0.500  0.000
Mo  0.250  0.750  0.500

---

Record 6
BePbCl3: relaxed, GGA-PBE.

Summary:
Formation energy without anion corrections (eV/atom): -0.637
Crystal system: cubic

Lattice parameters (Å, degrees): 4.681 4.681 4.681 90.00 90.00 90.00
Fractional coordinates of all 5 atoms:
Be  0.000  0.000  0.000
Pb  0.500  0.500  0.500
Cl  0.000  0.000  0.500
Cl  0.000  0.500  0.000
Cl  0.500  0.000  0.000

---

Record 7
Li2SmMg5: relaxed, GGA-PBE.

Summary:
Crystal system: orthorhombic
Energy of formation (eV/atom): -0.025

Lattice parameters (Å, degrees): 7.828 7.828 7.828 155.76 105.54 79.65
Fractional coordinates of all 8 atoms:
Li  0.249  0.249  0.000
Li  0.751  0.751  0.000
Sm  0.000  0.500  0.500
Mg  0.136  0.865  0.272
Mg  0.407  0.135  0.272
Mg  0.500  0.500  0.000
Mg  0.593  0.865  0.728
Mg  0.864  0.135  0.728

---

Record 8
Li2CoRh: relaxed, GGA-PBE.

Summary:
Crystal system: orthorhombic
Energy of formation (eV/atom): -0.027

Lattice parameters (Å, degrees): 5.043 5.043 5.043 148.89 129.83 60.22
Fractional coordinates of all 4 atoms:
Li  0.246  0.246  0.000
Li  0.754  0.754  0.000
Co  0.000  0.500  0.500
Rh  0.500  0.000  0.500

---

no.,total magnetic moment (μB/cell),calculated density (Mg/m³)
1,1.179,17.582
2,0.000,7.747
3,7.238,8.364
4,0.000,8.656
5,1.012,6.340
6,0.000,5.222
7,0.000,2.535
8,1.618,5.784